Record 1
This record from the Alexandria database describes a geometry-optimized Pr2CuO structure. The functional is PBE.

DFT total energy ... -67.90 eV/cell

Unit cell a=4.3635 b=4.3635 c=22.5793 alpha=90.00 beta=90.00 gamma=120.00
With the nearest neighbours (Å) after each atom.
Space group R-3m (No. 166, hexagonal axes)
Unique sites:
Pr 0.0000 0.0000 0.0946  1 O 2.14
Cu 0.0000 0.0000 0.5000  6 Pr 3.00
O 0.0000 0.0000 0.0000  2 Pr 2.14

***

Record 2
This record from the Alexandria database describes a geometry-optimized NiSbRhSe2 structure. The functional is PBE.

DFT total energy ... -18.44 eV/cell

Unit cell a=5.3193 b=5.3193 c=4.8774 alpha=90.00 beta=90.00 gamma=90.00
With the nearest neighbours (Å) after each atom.
Space group P4/mmm (No. 123)
Unique sites:
Ni 0.0000 0.0000 0.0000  8 Se 3.61, 4 Rh 3.76
Sb 0.5000 0.5000 0.5000  2 Rh 2.44, 4 Se 2.66
Rh 0.5000 0.5000 0.0000  2 Sb 2.44
Se 0.0000 0.5000 0.5000  2 Sb 2.66